A relaxed MnCdAg2 crystal. Source: Alexandria, functional GGA-PBE.

As for the density: 8.858 g/cm3. The crystal system is monoclinic. Its total energy is -3.788 eV per atom. As for the space group: No. 12.

Cell lengths 5.061, 5.061, 5.098 Å; angles 79.89, 79.89, 34.03 degrees
Last column: magnetic moment on the atom in μB.
Atoms (fractional coordinates):
Mn1 0.250 0.250 0.250  3.82
Ag1 0.995 0.995 0.010  0.02
Ag2 0.505 0.505 0.490  0.02
Cd1 0.750 0.750 0.750  -0.03

---

A relaxed MnCdAg2 crystal. Source: Alexandria, functional GGA-PBE.

As for the density: 8.087 g/cm3. The crystal system is tetragonal. Its total energy is -3.553 eV per atom. As for the space group: No. 122.

Cell lengths 3.977, 3.977, 10.338 Å; angles 78.91, 78.91, 90.00 degrees
Last column: magnetic moment on the atom in μB.
Atoms (fractional coordinates):
Mn1 0.250 0.750 0.500  3.88
Mn2 0.500 0.500 0.000  3.87
Ag1 0.375 0.378 0.750  0.00
Ag2 0.875 0.872 0.750  0.00
Ag3 0.622 0.125 0.250  0.00
Ag4 0.128 0.625 0.250  0.00
Cd1 0.000 0.000 0.000  -0.05
Cd2 0.750 0.250 0.500  -0.05

---

Number 1: total magnetization 1.003 μB/atom, calculated formation energy 0.1587 eV per atom. Number 2: total magnetization 0.987 μB/atom, calculated formation energy 0.3943 eV per atom.